Record 1
# ZnHgW2 | the Alexandria database | PBE | relaxed
data_ZnHgW2
_chemical_formula_sum 'Zn2 Hg2 W4'
_symmetry_space_group_name_H-M 'C 1 m 1'
_symmetry_Int_Tables_number 8
_symmetry_space_group_name_Hall 'C -2y'
_cell_length_a 9.529
_cell_length_b 2.750
_cell_length_c 5.192
_cell_angle_alpha 90.00
_cell_angle_beta 95.19
_cell_angle_gamma 90.00
loop_
_atom_site_label
_atom_site_type_symbol
_atom_site_fract_x
_atom_site_fract_y
_atom_site_fract_z
Zn1 Zn 0.000 0.000 0.000
Hg1 Hg 0.245 0.000 0.773
W1 W 0.244 0.500 0.270
W2 W 0.496 0.000 0.475
# **Crystal system**: monoclinic

Record 2
# LaSm2Tm2 | the Alexandria database | PBE | relaxed
data_LaSm2Tm2
_chemical_formula_sum 'La2 Sm4 Tm4'
_symmetry_space_group_name_H-M 'P 4/m b m'
_symmetry_Int_Tables_number 127
_symmetry_space_group_name_Hall '-P 4 2ab'
_cell_length_a 9.437
_cell_length_b 9.437
_cell_length_c 3.787
_cell_angle_alpha 90.00
_cell_angle_beta 90.00
_cell_angle_gamma 90.00
loop_
_atom_site_label
_atom_site_type_symbol
_atom_site_fract_x
_atom_site_fract_y
_atom_site_fract_z
La1 La 0.000 0.000 0.000
Sm1 Sm 0.127 0.373 0.000
Tm1 Tm 0.170 0.670 0.500
# **Crystal system**: tetragonal

Record 3
# MnTl2Cr | the Alexandria database | PBE | relaxed
data_MnTl2Cr
_chemical_formula_sum 'Mn4 Tl8 Cr4'
_symmetry_space_group_name_H-M 'F m -3 m'
_symmetry_Int_Tables_number 225
_symmetry_space_group_name_Hall '-F 4 2 3'
_cell_length_a 6.480
_cell_length_b 6.480
_cell_length_c 6.480
_cell_angle_alpha 90.00
_cell_angle_beta 90.00
_cell_angle_gamma 90.00
loop_
_atom_site_label
_atom_site_type_symbol
_atom_site_fract_x
_atom_site_fract_y
_atom_site_fract_z
Mn1 Mn 0.000 0.000 0.000
Tl1 Tl 0.250 0.250 0.250
Cr1 Cr 0.000 0.000 0.500
# **Crystal system**: cubic

Record 4
# YFe2 | the Alexandria database | PBE | relaxed
data_YFe2
_chemical_formula_sum 'Y1 Fe2'
_symmetry_space_group_name_H-M 'P 4/m m m'
_symmetry_Int_Tables_number 123
_symmetry_space_group_name_Hall '-P 4 2'
_cell_length_a 3.399
_cell_length_b 3.399
_cell_length_c 4.751
_cell_angle_alpha 90.00
_cell_angle_beta 90.00
_cell_angle_gamma 90.00
loop_
_atom_site_label
_atom_site_type_symbol
_atom_site_fract_x
_atom_site_fract_y
_atom_site_fract_z
Y1 Y 0.000 0.000 0.000
Fe1 Fe 0.000 0.500 0.500
# **Crystal system**: tetragonal

Record 5
# Na2MgAs2 | the Alexandria database | PBE | relaxed
data_Na2MgAs2
_chemical_formula_sum 'Na4 Mg2 As4'
_symmetry_space_group_name_H-M 'P 4/m b m'
_symmetry_Int_Tables_number 127
_symmetry_space_group_name_Hall '-P 4 2ab'
_cell_length_a 8.301
_cell_length_b 8.301
_cell_length_c 3.161
_cell_angle_alpha 90.00
_cell_angle_beta 90.00
_cell_angle_gamma 90.00
loop_
_atom_site_label
_atom_site_type_symbol
_atom_site_fract_x
_atom_site_fract_y
_atom_site_fract_z
Na1 Na 0.115 0.385 0.000
Mg1 Mg 0.000 0.000 0.000
As1 As 0.187 0.687 0.500
# **Crystal system**: tetragonal

no.,total magnetic moment (Bohr magnetons per cell),final energy (eV for the cell shown)
1,0.00,-50.3
2,0.00,-45.9
3,0.00,-76.6
4,3.52,-22.4
5,0.00,-28.1